Record 1
Here is a geometry-optimized Lu2CdSe4 structure from Alexandria. Energies are from GGA-PBE.

Geometry as extended XYZ:
```
14
Lattice="0.000 5.818 5.818 5.818 0.000 5.818 5.818 5.818 0.000" Properties=species:S:1:pos:R:3 pbc="T T T"
Lu 0.000 0.000 0.000
Lu 2.909 2.909 0.000
Lu 2.909 0.000 2.909
Lu 0.000 2.909 2.909
Cd 4.363 4.363 4.363
Cd 7.272 7.272 7.272
Se 8.823 5.722 5.722
Se 2.813 2.813 2.813
Se 5.914 5.914 2.813
Se 5.914 2.813 5.914
Se 5.722 8.823 5.722
Se 5.722 5.722 8.823
Se 8.823 8.823 8.823
Se 2.813 5.914 5.914
```

Values from the calculation:
For the uncorrected formation energy, the calculation gives -1.504 eV/atom. As for the symmetry: No. 227. Its total energy is -68.84 eV for the cell shown. The magnetization comes out at 0.000 μB per atom.

---

Record 2
Here is a geometry-optimized SmLuCd2 structure from Alexandria. Energies are from GGA-PBE.

Geometry as extended XYZ:
```
16
Lattice="7.494 0.000 0.000 0.000 7.494 0.000 0.000 0.000 7.494" Properties=species:S:1:pos:R:3 pbc="T T T"
Sm 0.000 0.000 0.000
Sm 0.000 3.747 3.747
Sm 3.747 0.000 3.747
Sm 3.747 3.747 0.000
Lu 0.000 0.000 3.747
Lu 0.000 3.747 0.000
Lu 3.747 0.000 0.000
Lu 3.747 3.747 3.747
Cd 1.874 1.874 1.874
Cd 1.874 1.874 5.621
Cd 1.874 5.621 1.874
Cd 1.874 5.621 5.621
Cd 5.621 1.874 1.874
Cd 5.621 1.874 5.621
Cd 5.621 5.621 1.874
Cd 5.621 5.621 5.621
```

Values from the calculation:
Its density of states at the Fermi level is 15.50 states/eV per cell. As for the symmetry: No. 225. Its total energy is -49.22 eV for the cell shown. The magnetization comes out at 0.005 μB per atom. Its offset from the most stable computed form is 0 meV per atom.

---

Repeat the first record exactly.
Here is a geometry-optimized Lu2CdSe4 structure from Alexandria. Energies are from GGA-PBE.

Geometry as extended XYZ:
```
14
Lattice="0.000 5.818 5.818 5.818 0.000 5.818 5.818 5.818 0.000" Properties=species:S:1:pos:R:3 pbc="T T T"
Lu 0.000 0.000 0.000
Lu 2.909 2.909 0.000
Lu 2.909 0.000 2.909
Lu 0.000 2.909 2.909
Cd 4.363 4.363 4.363
Cd 7.272 7.272 7.272
Se 8.823 5.722 5.722
Se 2.813 2.813 2.813
Se 5.914 5.914 2.813
Se 5.914 2.813 5.914
Se 5.722 8.823 5.722
Se 5.722 5.722 8.823
Se 8.823 8.823 8.823
Se 2.813 5.914 5.914
```

Values from the calculation:
For the uncorrected formation energy, the calculation gives -1.504 eV/atom. As for the symmetry: No. 227. Its total energy is -68.84 eV for the cell shown. The magnetization comes out at 0.000 μB per atom.

---

Which of these has the highest magnetization?
SmLuCd2